{"formula": "Pr6Nd2Y", "functional": "PBE", "state": "relaxed", "final_energy_ev_per_atom": -4.84, "ef_kj_per_mol_atoms": 12, "sg": "No. 65", "lattice": [[-0.4020, -3.6757, -0.0949], [10.2092, -1.1108, -0.2283], [5.8973, -0.8610, 8.3663]], "species": ["Pr", "Pr", "Pr", "Pr", "Pr", "Pr", "Nd", "Nd", "Y"], "frac_coords": [[0.0000, 0.5112, 0.1608], [0.0000, 0.8392, 0.4888], [0.0000, 0.4888, 0.8392], [0.5000, 0.6832, 0.3168], [0.0000, 0.1608, 0.5112], [0.5000, 0.3168, 0.6832], [0.5000, 0.1766, 0.1766], [0.5000, 0.8234, 0.8234], [0.0000, 0.0000, 0.0000]]}

***

{"formula": "ZnTeSO2", "functional": "PBE", "state": "relaxed", "final_energy_ev_per_atom": -3.53, "sg": "No. 123", "lattice": [[-2.0080, -1.3874, -2.9936], [2.2249, -4.3203, 0.5098], [-2.7916, -1.1536, 2.4072]], "species": ["Zn", "Te", "S", "O", "O"], "frac_coords": [[0.0000, 0.5000, 0.0000], [0.5000, 0.5000, 0.5000], [0.0000, 0.0000, 0.0000], [0.0000, 0.0000, 0.5000], [0.5000, 0.0000, 0.0000]]}

***

{"formula": "Dy9ErIn2", "functional": "PBE", "state": "relaxed", "final_energy_ev_per_atom": -4.46, "ef_kj_per_mol_atoms": -16, "sg": "No. 123", "lattice": [[-1.5544, 3.0816, 3.4314], [-3.7712, -2.9338, 0.9264], [8.1144, -7.2218, 10.1611]], "species": ["Dy", "Dy", "Dy", "Dy", "Dy", "Dy", "Dy", "Dy", "Dy", "Er", "In", "In"], "frac_coords": [[0.5000, 0.5000, 0.0000], [0.5000, 0.5000, 0.3366], [0.5000, 0.5000, 0.6634], [0.5000, 0.0000, 0.1717], [0.5000, 0.0000, 0.5000], [0.5000, 0.0000, 0.8283], [0.0000, 0.5000, 0.1717], [0.0000, 0.5000, 0.5000], [0.0000, 0.5000, 0.8283], [0.0000, 0.0000, 0.0000], [0.0000, 0.0000, 0.3391], [0.0000, 0.0000, 0.6609]]}